<A>
First-principles (PBE) data for an optimized crystal structure of Zr2BiP2, as listed in Alexandria via LeMat-Bulk.

Geometry as POSCAR:
```
Zr2BiP2
1.0
-3.4194 -0.8630 -6.7539
-5.8066 -3.5772 3.3969
-1.5948 2.9924 0.4251
Zr P Bi
4 4 2
Cartesian
-7.9480 -2.0967 -1.3226
-2.8728 0.6489 -1.6093
-5.7067 -0.4752 -4.3286
-5.1141 -0.9727 1.3967
-6.2983 -3.4225 0.4632
-2.5881 -1.4303 0.3583
-6.6379 -3.0099 -3.7153
-2.9278 -1.0177 -3.8201
0.0000 0.0000 0.0000
-4.6130 -2.2201 -1.6785
```

ρ   7.59 g/cm³

<B>
First-principles (PBE) data for an optimized crystal structure of Zr2BiP2, as listed in Alexandria via LeMat-Bulk.

Geometry as POSCAR:
```
Zr2BiP2
1.0
4.9602 0.0000 0.0000
0.0000 4.9602 0.0000
2.4801 2.4801 4.2322
Bi Zr P
1 2 2
Cartesian
0.0000 0.0000 0.0000
2.4801 4.9602 2.1161
4.9602 2.4801 2.1161
4.9602 4.9602 3.1099
2.4801 2.4801 1.1223
```

ρ   7.23 g/cm³

Most stable: <B>. Least stable: <A>.